A geometry-optimized Tb3CdPd4 structure. Source: the Alexandria database, functional PBE-GGA.

The space group is Immm (No. 71) and the conventional cell measures 3.777, 6.581 and 14.850 Å, with angles of 90.00, 90.00 and 90.00 degrees. The asymmetric unit holds Tb at (0.000, 0.000, 0.000), Tb at (0.000, 0.500, 0.193), Cd at (0.000, 0.000, 0.500) and Pd at (0.000, 0.296, 0.371).

The crystal system is orthorhombic. The calculation puts the energy above the lowest structure with this stoichiometry at 121 meV per atom.

A geometry-optimized Tb3CdPd structure. Source: the Alexandria database, functional PBE-GGA.

The space group is Amm2 (No. 38) and the conventional cell measures 3.871, 9.997 and 15.059 Å, with angles of 90.00, 90.00 and 90.00 degrees. The asymmetric unit holds Tb at (0.000, 0.000, 0.000), Tb at (0.000, 0.000, 0.343), Tb at (0.500, 0.196, 0.554), Tb at (0.500, 0.196, 0.788), Cd at (0.000, 0.000, 0.671), Cd at (0.500, 0.000, 0.172) and Pd at (0.000, 0.250, 0.421).

The crystal system is orthorhombic.

A geometry-optimized TbCd2Pd structure. Source: the Alexandria database, functional PBE-GGA.

The space group is P4/mmm (No. 123) and the conventional cell measures 4.183, 4.183 and 5.034 Å, with angles of 90.00, 90.00 and 90.00 degrees. The asymmetric unit holds Tb at (0.000, 0.000, 0.000), Cd at (0.000, 0.500, 0.500) and Pd at (0.500, 0.500, 0.000).

The crystal system is tetragonal.

A geometry-optimized Tb7Cd2Pd2 structure. Source: the Alexandria database, functional PBE-GGA.

The space group is Cmmm (No. 65) and the conventional cell measures 8.059, 11.083 and 7.206 Å, with angles of 90.00, 90.00 and 90.00 degrees. The asymmetric unit holds Tb at (0.000, 0.000, 0.000), Tb at (0.000, 0.500, 0.251), Tb at (0.250, 0.250, 0.257), Cd at (0.174, 0.000, 0.500) and Pd at (0.000, 0.291, 0.000).

The crystal system is orthorhombic.

A geometry-optimized Tb6CdPd5 structure. Source: the Alexandria database, functional PBE-GGA.

The space group is P2/m (No. 10) and the conventional cell measures 5.025, 7.150 and 7.946 Å, with angles of 90.00, 108.51 and 90.00 degrees. The asymmetric unit holds Tb at (0.000, 0.238, 0.000), Tb at (0.329, 0.247, 0.658), Cd at (0.500, 0.500, 0.000), Pd at (0.156, 0.500, 0.314), Pd at (0.166, 0.000, 0.335) and Pd at (0.500, 0.000, 0.000).

The crystal system is monoclinic.

A geometry-optimized TbCdPd structure. Source: the Alexandria database, functional PBE-GGA.

The space group is Pmma (No. 51) and the conventional cell measures 13.359, 3.858 and 7.766 Å, with angles of 90.00, 90.00 and 90.00 degrees. The asymmetric unit holds Tb at (0.047, 0.000, 0.229), Tb at (0.250, 0.000, 0.830), Cd at (0.110, 0.500, 0.564), Cd at (0.250, 0.500, 0.189), Pd at (0.097, 0.500, 0.936) and Pd at (0.250, 0.000, 0.448).

The crystal system is orthorhombic.

A geometry-optimized TbCd4Pd structure. Source: the Alexandria database, functional PBE-GGA.

The space group is C2/m (No. 12) and the conventional cell measures 13.536, 7.498 and 5.546 Å, with angles of 90.00, 105.26 and 90.00 degrees. The asymmetric unit holds Tb at (0.217, 0.000, 0.137), Cd at (0.000, 0.206, 0.000), Cd at (0.124, 0.189, 0.571), Cd at (0.155, 0.500, 0.270) and Pd at (0.068, 0.500, 0.754).

The crystal system is monoclinic. The calculation puts the energy above the lowest structure with this stoichiometry at 0 meV per atom.

A geometry-optimized Tb5Cd2Pd2 structure. Source: the Alexandria database, functional PBE-GGA.

The space group is Cmce (No. 64) and the conventional cell measures 15.999, 7.443 and 7.994 Å, with angles of 90.00, 90.00 and 90.00 degrees. The asymmetric unit holds Tb at (0.000, 0.000, 0.000), Tb at (0.123, 0.175, 0.321), Cd at (0.217, 0.000, 0.000) and Pd at (0.000, 0.127, 0.629).

The crystal system is orthorhombic.

A geometry-optimized TbCd2Pd5 structure. Source: the Alexandria database, functional PBE-GGA.

The space group is I4/mmm (No. 139) and the conventional cell measures 4.217, 4.217 and 15.878 Å, with angles of 90.00, 90.00 and 90.00 degrees. The asymmetric unit holds Tb at (0.000, 0.000, 0.000), Cd at (0.000, 0.000, 0.252), Pd at (0.000, 0.000, 0.500) and Pd at (0.000, 0.500, 0.128).

The crystal system is tetragonal. The calculation puts the energy above the lowest structure with this stoichiometry at 0 meV per atom.

A geometry-optimized Tb3Cd2Pd6 structure. Source: the Alexandria database, functional PBE-GGA.

The space group is Im-3m (No. 229) and the conventional cell measures 9.723, 9.723 and 9.723 Å, with angles of 90.00, 90.00 and 90.00 degrees. The asymmetric unit holds Tb at (0.000, 0.000, 0.303), Cd at (0.250, 0.250, 0.250) and Pd at (0.000, 0.345, 0.345).

The crystal system is cubic.

A geometry-optimized TbCd2Pd7 structure. Source: the Alexandria database, functional PBE-GGA.

The space group is Cmmm (No. 65) and the conventional cell measures 7.248, 13.994 and 4.395 Å, with angles of 90.00, 90.00 and 90.00 degrees. The asymmetric unit holds Tb at (0.000, 0.000, 0.000), Cd at (0.000, 0.298, 0.500), Pd at (0.000, 0.189, 0.000), Pd at (0.000, 0.500, 0.500) and Pd at (0.184, 0.103, 0.500).

The crystal system is orthorhombic.

A geometry-optimized Tb2CdPd structure. Source: the Alexandria database, functional PBE-GGA.

The space group is Fm-3m (No. 225) and the conventional cell measures 7.273, 7.273 and 7.273 Å, with angles of 90.00, 90.00 and 90.00 degrees. The asymmetric unit holds Tb at (0.250, 0.250, 0.250), Cd at (0.000, 0.000, 0.000) and Pd at (0.000, 0.000, 0.500).

The crystal system is cubic. The calculation puts the energy above the lowest structure with this stoichiometry at 54 meV per atom.

Calculated density of states at the Fermi level in order - 0.533 1.040 0.768 1.088 0.745 0.788 0.420 0.944 0.357 0.403 0.313 0.591 states/eV/atom
Calculated ΔH_f (0 K) in order - -668 -311 -393 -279 -758 -674 -260 -482 -604 -707 -44 -543 meV per atom
Calculated magnetization in order - 0.0 0.0 0.0 0.0 0.0 0.0 0.0 0.0 0.0 0.0 0.0 0.0 μB per cell